# 1
## Ce6ZnPt (GGA-PBE)

Data for crystalline Ce6ZnPt at its relaxed geometry.

Cell and atoms, written as POSCAR:
```
Ce6ZnPt
1.0
-2.7438 6.8477 -2.5586
-3.9747 -1.5329 -3.0699
-5.0507 0.1092 1.9888
Zn Ce Pt
1 6 1
Cartesian
-5.8846 2.7120 -1.8198
-2.8418 4.0106 -1.8593
-5.9824 -0.1485 -0.7530
-5.7868 5.5724 -2.8866
-3.0387 1.5782 -0.2866
-8.9274 1.4133 -1.7804
-8.7304 3.8458 -3.3531
0.0000 0.0000 0.0000
```

Computed properties:
Total magnetic moment   0.01 μB per formula unit
VASP energy   -5.616 eV/atom

***

# 2
## Ce2Zn3Pt4 (GGA-PBE)

Data for crystalline Ce2Zn3Pt4 at its relaxed geometry.

Cell and atoms, written as POSCAR:
```
Ce2Zn3Pt4
1.0
5.6408 0.0000 0.0000
0.0000 7.4797 0.0000
-2.8204 0.0000 7.9095
Pt Zn Ce
8 6 4
Cartesian
4.2306 1.8699 1.0043
-1.4102 5.6098 6.9051
2.8204 3.9584 2.7498
1.4102 1.8699 1.0043
2.8204 0.2185 5.1597
1.4102 5.6098 6.9051
0.0000 7.2612 2.7498
0.0000 3.5213 5.1597
2.8204 3.7398 0.0000
1.4102 5.6098 4.2858
-1.4102 5.6098 4.2858
1.4102 1.8699 3.6237
0.0000 0.0000 0.0000
4.2306 1.8699 3.6237
2.8204 3.0939 6.1586
0.0000 0.6460 6.1586
0.0000 4.3858 1.7509
2.8204 6.8337 1.7509
```

Computed properties:
Total magnetic moment   1.14 μB per formula unit
VASP energy   -5.256 eV/atom

***

# 3
## CeZn2Pt2 (GGA-PBE)

Data for crystalline CeZn2Pt2 at its relaxed geometry.

Cell and atoms, written as POSCAR:
```
CeZn2Pt2
1.0
3.9076 0.0000 0.0000
0.0000 3.9076 0.0000
-1.9538 -1.9538 6.2426
Zn Pt Ce
2 2 1
Cartesian
1.9538 0.0000 3.1213
0.0000 1.9538 3.1213
0.0000 0.0000 4.8852
1.9538 1.9538 1.3574
0.0000 0.0000 0.0000
```

Computed properties:
Total magnetic moment   0.72 μB per formula unit
VASP energy   -4.880 eV/atom
Relative energy among the computed polymorphs   0 meV/atom

***

# 4
## Ce3ZnPt8 (GGA-PBE)

Data for crystalline Ce3ZnPt8 at its relaxed geometry.

Cell and atoms, written as POSCAR:
```
Ce3ZnPt8
1.0
-2.9527 1.7365 4.2294
0.6099 -2.3259 4.8826
5.5605 5.6884 5.0485
Ce Pt Zn
3 8 1
Cartesian
1.4841 2.4337 7.0407
-2.1697 -0.4287 9.1669
3.9165 4.6910 7.8121
3.0784 2.4653 9.8899
-1.4901 1.6618 7.0445
1.9592 2.3464 3.9063
1.2952 4.4985 9.5630
3.5755 4.9028 10.9889
-0.0033 0.7874 4.9149
0.3038 -0.3837 7.3734
1.6005 3.3344 12.0068
0.2661 1.8316 9.9394
```

Computed properties:
Total magnetic moment   1.62 μB per formula unit
VASP energy   -6.539 eV/atom

***

# 5
## Ce3Zn8Pt (GGA-PBE)

Data for crystalline Ce3Zn8Pt at its relaxed geometry.

Cell and atoms, written as POSCAR:
```
Ce3Zn8Pt
1.0
-0.6152 4.5250 -2.8421
0.5769 -0.0832 -5.3471
-8.6390 -0.2596 -3.6333
Zn Pt Ce
8 1 3
Cartesian
-5.5922 1.7555 -8.7466
-3.7288 0.7309 -3.1190
-1.9790 4.1416 -5.6885
-6.1818 4.0347 -7.5075
-5.8965 3.9936 -10.1523
-1.6730 1.8912 -4.2752
-8.1217 2.8111 -9.0359
-1.3862 1.8499 -6.9343
-3.4892 3.7457 -8.5506
-0.0450 4.4405 -8.1899
-7.5934 1.4345 -6.2521
-4.2843 2.1021 -5.9055
```

Computed properties:
Total magnetic moment   2.05 μB per formula unit
VASP energy   -3.124 eV/atom

***

# 6
## Ce2ZnPt4 (GGA-PBE)

Data for crystalline Ce2ZnPt4 at its relaxed geometry.

Cell and atoms, written as POSCAR:
```
Ce2ZnPt4
1.0
4.5412 0.7127 -1.4735
0.3610 4.5826 -1.4734
-0.5871 -0.6341 8.1923
Ce Pt Zn
2 4 1
Cartesian
2.9564 3.1935 0.3480
1.3587 1.4677 4.8974
3.6528 3.9456 2.8579
0.1805 2.2913 -0.7367
0.6624 0.7155 2.3875
2.2706 0.3563 -0.7367
0.0000 0.0000 0.0000
```

Computed properties:
Total magnetic moment   1.15 μB per formula unit
VASP energy   -5.899 eV/atom